# 1
A plane-wave DFT calculation with PBE-GGA was carried out for crystalline GdTe3PbAu at its relaxed geometry.

Output
* energy above the lowest structure with this stoichiometry: 7 meV/atom
* total moment: 0.0009 μB per atom

a = 8.4794 Å, b = 4.3351 Å, c = 10.5267 Å
α = 90.00°, β = 105.24°, γ = 90.00°
Last column: nearest neighbours and their distance in Å.
Positions (direct):
Au1 0.0906 0.2500 0.0961  4 Te 2.77-3.07, 2 Au 3.09
Au2 0.9094 0.7500 0.9039  4 Te 2.77-3.07, 2 Au 3.09
Gd1 0.3109 0.7500 0.3227  6 Te 3.06-3.18, 2 Au 3.40
Gd2 0.6891 0.2500 0.6773  6 Te 3.06-3.18, 2 Au 3.40
Pb1 0.7695 0.7500 0.2166  6 Te 3.30-3.32
Pb2 0.2305 0.2500 0.7834  6 Te 3.30-3.32
Te1 0.2806 0.7500 0.0266  3 Au 2.91-3.07, 1 Gd 3.06
Te2 0.0621 0.2500 0.3525  1 Au 2.77, 2 Gd 3.10
Te3 0.5837 0.2500 0.3647  3 Gd 3.12-3.18, 2 Pb 3.30
Te4 0.4163 0.7500 0.6353  3 Gd 3.12-3.18, 2 Pb 3.30
Te5 0.9379 0.7500 0.6475  1 Au 2.77, 2 Gd 3.10
Te6 0.7194 0.2500 0.9734  3 Au 2.91-3.07, 1 Gd 3.06

***

# 2
A plane-wave DFT calculation with PBE-GGA was carried out for crystalline Gd4Pd3Au at its relaxed geometry.

Output
* energy of formation: -0.896 eV/atom
* total moment: 0.0013 μB per atom

a = 5.6381 Å, b = 4.6436 Å, c = 7.1094 Å
α = 90.00°, β = 90.30°, γ = 90.00°
Last column: nearest neighbours and their distance in Å.
Positions (direct):
Au1 0.3485 0.0000 0.5407  2 Pd 2.95, 7 Gd 2.98-3.07
Gd1 0.6469 0.0000 0.1818  6 Pd 2.94-3.04, 1 Au 3.06
Gd2 0.1392 0.5000 0.3122  5 Pd 2.94-3.07, 2 Au 3.07
Gd3 0.8543 0.0000 0.6868  2 Au 2.98-3.03, 5 Pd 3.01-3.05
Gd4 0.3560 0.5000 0.8216  5 Pd 2.93-3.08, 2 Au 3.06
Pd1 0.1554 0.0000 0.0420  7 Gd 2.94-3.04, 2 Pd 2.96
Pd2 0.6523 0.5000 0.4586  7 Gd 2.94-3.08, 2 Au 2.95
Pd3 0.8474 0.5000 0.9564  7 Gd 2.93-3.04, 2 Pd 2.96

***

# 3
A plane-wave DFT calculation with PBE-GGA was carried out for crystalline Gd2PdAu at its relaxed geometry.

Output
* energy of formation: -0.884 eV/atom
* total moment: 0.0000 μB per atom

a = 4.5140 Å, b = 5.7701 Å, c = 5.7701 Å
α = 39.00°, β = 90.00°, γ = 90.00°
Last column: nearest neighbours and their distance in Å.
Positions (direct):
Au1 0.0000 0.4152 0.4152  2 Pd 2.94, 7 Gd 3.02-3.09
Gd1 0.0000 0.1376 0.1376  4 Pd 3.01, 3 Au 3.02-3.09
Gd2 0.5000 0.8587 0.8587  3 Pd 2.94-3.16, 4 Au 3.03
Pd1 0.5000 0.5885 0.5885  7 Gd 2.94-3.16, 2 Au 2.94

***

# 4
A plane-wave DFT calculation with PBE-GGA was carried out for crystalline GdSi2PdAu at its relaxed geometry.

Output
* total moment: 0.0004 μB per atom
* final energy: -5.571 eV per atom

a = 5.8887 Å, b = 5.8887 Å, c = 5.8887 Å
α = 138.19°, β = 138.19°, γ = 60.61°
Last column: nearest neighbours and their distance in Å.
Positions (direct):
Au1 0.0000 0.0000 0.0000  4 Si 2.52
Gd1 0.7500 0.2500 0.5000  8 Si 3.19, 4 Pd 3.30, 4 Au 3.30
Pd1 0.5000 0.5000 0.0000  4 Si 2.52
Si1 0.1366 0.6366 0.5000  1 Si 2.31, 2 Au 2.52, 2 Pd 2.52
Si2 0.3634 0.8634 0.5000  1 Si 2.31, 2 Pd 2.52, 2 Au 2.52

***

> Which formula does entry 2 have?

Gd4Pd3Au

***

> Which of these has the highest total moment?

Gd4Pd3Au

***

> Which of these has the lowest total moment?

Gd2PdAu